# 1
Material: InAs2Ir
Method: DFT, meta-GGA SCAN
State: single point on PBEsol structure

Geometry as POSCAR:
```
InAs2Ir
1.0
3.927 0.000 0.000
0.000 3.927 0.000
0.000 0.000 4.614
In As Ir
1 2 1
direct
0.000 0.000 0.000
0.000 0.500 0.500
0.500 0.000 0.500
0.500 0.500 0.000
```

Output
**DOS(E_F)**: 0.323 states/eV/atom
**E_tot**: -35.8424 eV/atom
**Formation energy from the elements**: 1.497 eV per formula unit
**Crystal system**: tetragonal
**SG**: P4/mmm

# 2
Material: InAsIr2
Method: DFT, meta-GGA SCAN
State: single point on PBEsol structure

Geometry as POSCAR:
```
InAsIr2
1.0
2.998 0.000 0.000
0.000 3.490 0.000
0.000 0.000 6.039
In As Ir
1 1 2
direct
0.000 0.000 0.000
0.000 0.000 0.500
0.500 0.500 0.265
0.500 0.500 0.735
```

Output
**DOS(E_F)**: 0.458 states/eV/atom
**E_tot**: -48.8377 eV/atom
**Energy above the lowest structure with this stoichiometry**: 0.000 eV per atom
**Formation energy from the elements**: 0.424 eV per formula unit
**Crystal system**: orthorhombic
**SG**: Pmmm

# 3
Material: In2AsIr
Method: DFT, meta-GGA SCAN
State: single point on PBEsol structure

Geometry as POSCAR:
```
In2AsIr
1.0
4.411 0.000 0.000
0.000 4.411 0.000
0.000 0.000 3.795
In As Ir
2 1 1
direct
0.000 0.500 0.000
0.500 0.000 0.000
0.000 0.000 0.500
0.500 0.500 0.500
```

Output
**DOS(E_F)**: 0.285 states/eV/atom
**E_tot**: -39.2643 eV/atom
**Formation energy from the elements**: 1.005 eV per formula unit
**Crystal system**: tetragonal
**SG**: P4/mmm

# 4
Material: In2AsIr
Method: DFT, meta-GGA SCAN
State: single point on PBEsol structure

Geometry as POSCAR:
```
In2AsIr
1.0
2.980 0.000 0.000
0.000 4.591 0.000
0.000 0.000 11.865
In As Ir
4 2 2
direct
0.000 0.000 0.000
0.000 0.500 0.200
0.500 0.000 0.700
0.500 0.500 0.500
0.000 0.500 0.815
0.500 0.000 0.315
0.000 0.000 0.487
0.500 0.500 0.987
```

Output
**DOS(E_F)**: 0.342 states/eV/atom
**E_tot**: -39.5851 eV/atom
**Formation energy from the elements**: -0.278 eV per formula unit
**Crystal system**: orthorhombic
**SG**: Imm2

# 5
Material: InAsIr2
Method: DFT, meta-GGA SCAN
State: single point on PBEsol structure

Geometry as POSCAR:
```
InAsIr2
1.0
4.538 0.000 0.000
0.000 2.966 0.000
-1.875 0.000 4.739
In As Ir
1 1 2
direct
0.000 0.000 0.000
0.000 0.500 0.500
0.500 0.000 0.500
0.500 0.500 0.000
```

Output
**DOS(E_F)**: 0.550 states/eV/atom
**E_tot**: -48.7789 eV/atom
**Energy above the lowest structure with this stoichiometry**: 0.059 eV per atom
**Formation energy from the elements**: 0.660 eV per formula unit
**Crystal system**: monoclinic
**SG**: P2/m

# 6
Material: InAs2Ir
Method: DFT, meta-GGA SCAN
State: single point on PBEsol structure

Geometry as POSCAR:
```
InAs2Ir
1.0
3.793 0.000 0.000
-1.896 3.284 0.000
0.000 0.000 19.349
In As Ir
3 6 3
direct
0.000 0.000 0.000
0.333 0.667 0.667
0.667 0.333 0.333
0.000 0.000 0.229
0.000 0.000 0.771
0.333 0.667 0.438
0.333 0.667 0.896
0.667 0.333 0.104
0.667 0.333 0.562
0.000 0.000 0.500
0.333 0.667 0.167
0.667 0.333 0.833
```

Output
**DOS(E_F)**: 0.561 states/eV/atom
**E_tot**: -36.3466 eV/atom
**Formation energy from the elements**: -0.520 eV per formula unit
**Crystal system**: trigonal
**SG**: R-3m

# 7
Material: In2AsIr
Method: DFT, meta-GGA SCAN
State: single point on PBEsol structure

Geometry as POSCAR:
```
In2AsIr
1.0
4.243 0.000 0.000
0.000 4.243 0.000
0.000 0.000 8.212
In As Ir
4 2 2
direct
0.000 0.000 0.000
0.000 0.500 0.250
0.500 0.000 0.750
0.500 0.500 0.500
0.000 0.500 0.750
0.500 0.000 0.250
0.000 0.000 0.500
0.500 0.500 0.000
```

Output
**DOS(E_F)**: 0.227 states/eV/atom
**E_tot**: -39.2188 eV/atom
**Formation energy from the elements**: 1.188 eV per formula unit
**Crystal system**: tetragonal
**SG**: I-4m2

# 8
Material: InAs2Ir2
Method: DFT, meta-GGA SCAN
State: single point on PBEsol structure

Geometry as POSCAR:
```
InAs2Ir2
1.0
3.914 0.000 0.000
0.000 3.914 0.000
0.000 0.000 11.630
In As Ir
2 4 4
direct
0.000 0.000 0.000
0.500 0.500 0.500
0.000 0.500 0.250
0.000 0.500 0.750
0.500 0.000 0.250
0.500 0.000 0.750
0.000 0.000 0.389
0.000 0.000 0.611
0.500 0.500 0.111
0.500 0.500 0.889
```

Output
**DOS(E_F)**: 0.654 states/eV/atom
**E_tot**: -43.1643 eV/atom
**Formation energy from the elements**: 0.144 eV per formula unit
**Crystal system**: tetragonal
**SG**: I4/mmm